#1
# Hf2BeSb

A relaxed Hf2BeSb crystal (PBE-GGA, the Alexandria database).

Values from the calculation:
D(E_F) = 3.17 states/eV/cell

Cell lengths 5.585, 3.727, 7.617 Å; angles 90.00, 108.72, 90.00 degrees
Space group P2_1/m (No. 11)
One atom of each set of equivalent atoms:
Hf  0.180  0.250  0.406
Hf  0.235  0.750  0.062
Be  0.123  0.250  0.788
Sb  0.378  0.750  0.718

***

#2
# Hf2BeSb

A relaxed Hf2BeSb crystal (PBE-GGA, the Alexandria database).

Values from the calculation:
D(E_F) = 9.63 states/eV/cell

Cell lengths 7.366, 7.366, 5.878 Å; angles 90.00, 90.00, 90.00 degrees
Space group I-42d (No. 122)
One atom of each set of equivalent atoms:
Hf  0.224  0.250  0.125
Be  0.000  0.000  0.000
Sb  0.000  0.000  0.500

***

#3
# Hf2BeSb

A relaxed Hf2BeSb crystal (PBE-GGA, the Alexandria database).

Values from the calculation:
D(E_F) = 8.92 states/eV/cell

Cell lengths 3.6682, 3.6682, 20.7622 Å; angles 90.00, 90.00, 120.00 degrees
Space group R-3m (No. 166, hexagonal axes)
One atom of each set of equivalent atoms:
Hf  0.0000  0.0000  0.2363
Be  0.0000  0.0000  0.5000
Sb  0.0000  0.0000  0.0000

***

#4
# Hf2BeSb

A relaxed Hf2BeSb crystal (PBE-GGA, the Alexandria database).

Values from the calculation:
D(E_F) = 20.39 states/eV/cell

Cell lengths 6.767, 6.767, 6.767 Å; angles 90.00, 90.00, 90.00 degrees
Space group Fm-3m (No. 225)
One atom of each set of equivalent atoms:
Hf  0.250  0.250  0.250
Be  0.000  0.000  0.000
Sb  0.000  0.000  0.500

***

Which one is most stable, and which one is least stable? #1 is the most stable of them, while #4 is the least stable.

***

#1
# HfBe3Sb

A relaxed HfBe3Sb crystal (PBE-GGA, the Alexandria database).

Values from the calculation:
D(E_F) = 3.17 states/eV/cell

Cell lengths 4.515, 4.515, 4.515 Å; angles 90.00, 90.00, 90.00 degrees
Space group Pm-3m (No. 221)
One atom of each set of equivalent atoms:
Hf  0.000  0.000  0.000
Be  0.000  0.500  0.500
Sb  0.500  0.500  0.500

***

#2
# HfBe3Sb

A relaxed HfBe3Sb crystal (PBE-GGA, the Alexandria database).

Values from the calculation:
D(E_F) = 4.27 states/eV/cell

Cell lengths 4.715, 4.715, 4.715 Å; angles 90.00, 90.00, 90.00 degrees
Space group Pm-3m (No. 221)
One atom of each set of equivalent atoms:
Hf  0.000  0.000  0.000
Be  0.000  0.000  0.500
Sb  0.500  0.500  0.500

***

Which one is most stable, and which one is least stable? #1 is the most stable of them, while #2 is the least stable.

***

#1
# HfBeSbTe2

A relaxed HfBeSbTe2 crystal (PBE-GGA, the Alexandria database).

Values from the calculation:
D(E_F) = 4.45 states/eV/cell

Cell lengths 5.507, 5.507, 5.608 Å; angles 90.00, 90.00, 90.00 degrees
Space group P4/mmm (No. 123)
One atom of each set of equivalent atoms:
Hf  0.000  0.000  0.000
Be  0.500  0.500  0.500
Sb  0.000  0.000  0.500
Te  0.000  0.500  0.000

***

#2
# HfBeSbTe2

A relaxed HfBeSbTe2 crystal (PBE-GGA, the Alexandria database).

Values from the calculation:
D(E_F) = 4.29 states/eV/cell

Cell lengths 5.039, 5.039, 4.728 Å; angles 90.00, 90.00, 90.00 degrees
Space group P4/mmm (No. 123)
One atom of each set of equivalent atoms:
Hf  0.000  0.000  0.000
Be  0.500  0.500  0.500
Sb  0.500  0.500  0.000
Te  0.000  0.500  0.500

***

Which one is most stable, and which one is least stable? #2 is the most stable of them, while #1 is the least stable.

***

#1
# HfScBe

A relaxed HfScBe crystal (PBE-GGA, the Alexandria database).

Values from the calculation:
D(E_F) = 6.17 states/eV/cell

Cell lengths 3.113, 3.113, 11.289 Å; angles 90.00, 90.00, 90.00 degrees
Space group I4mm (No. 107)
One atom of each set of equivalent atoms:
Hf  0.000  0.000  0.000
Sc  0.000  0.000  0.707
Be  0.000  0.000  0.358

***

#2
# HfScBe

A relaxed HfScBe crystal (PBE-GGA, the Alexandria database).

Values from the calculation:
D(E_F) = 7.94 states/eV/cell

Cell lengths 4.370, 4.370, 6.195 Å; angles 90.00, 90.00, 90.00 degrees
Space group P4/nmm (No. 129, origin choice 2)
One atom of each set of equivalent atoms:
Hf  0.250  0.750  0.000
Sc  0.250  0.750  0.500
Be  0.250  0.250  0.240

***

Which one is most stable, and which one is least stable? #1 is the most stable of them, while #2 is the least stable.

***

#1
# HfBe3Se

A relaxed HfBe3Se crystal (PBE-GGA, the Alexandria database).

Values from the calculation:
D(E_F) = 1.47 states/eV/cell

Cell lengths 4.768, 4.768, 4.768 Å; angles 90.00, 90.00, 90.00 degrees
Space group Pm-3m (No. 221)
One atom of each set of equivalent atoms:
Hf  0.000  0.000  0.000
Be  0.000  0.000  0.500
Se  0.500  0.500  0.500

***

#2
# HfBe3Se

A relaxed HfBe3Se crystal (PBE-GGA, the Alexandria database).

Values from the calculation:
D(E_F) = 4.54 states/eV/cell

Cell lengths 4.271, 4.271, 4.271 Å; angles 90.00, 90.00, 90.00 degrees
Space group Pm-3m (No. 221)
One atom of each set of equivalent atoms:
Hf  0.000  0.000  0.000
Be  0.000  0.500  0.500
Se  0.500  0.500  0.500

***

Which one is most stable, and which one is least stable? #2 is the most stable of them, while #1 is the least stable.

***

#1
# Hf2Be2Si

A relaxed Hf2Be2Si crystal (PBE-GGA, the Alexandria database).

Values from the calculation:
D(E_F) = 9.93 states/eV/cell

Cell lengths 9.581, 3.710, 9.525 Å; angles 90.00, 118.85, 90.00 degrees
Space group C2/m (No. 12)
One atom of each set of equivalent atoms:
Hf  0.101  0.000  0.408
Hf  0.200  0.500  0.157
Be  0.037  0.000  0.916
Be  0.121  0.500  0.612
Si  0.075  0.500  0.819

***

#2
# Hf2Be2Si

A relaxed Hf2Be2Si crystal (PBE-GGA, the Alexandria database).

Values from the calculation:
D(E_F) = 5.46 states/eV/cell

Cell lengths 6.134, 6.134, 3.841 Å; angles 90.00, 90.00, 90.00 degrees
Space group P4/mbm (No. 127)
One atom of each set of equivalent atoms:
Hf  0.173  0.327  0.000
Be  0.121  0.621  0.500
Si  0.000  0.000  0.500

***

Which one is most stable, and which one is least stable? #1 is the most stable of them, while #2 is the least stable.

***

#1
# HfBe3Si

A relaxed HfBe3Si crystal (PBE-GGA, the Alexandria database).

Values from the calculation:
D(E_F) = 5.19 states/eV/cell

Cell lengths 4.674, 4.674, 4.674 Å; angles 90.00, 90.00, 90.00 degrees
Space group Pm-3m (No. 221)
One atom of each set of equivalent atoms:
Hf  0.000  0.000  0.000
Be  0.000  0.000  0.500
Si  0.500  0.500  0.500

***

#2
# HfBe3Si

A relaxed HfBe3Si crystal (PBE-GGA, the Alexandria database).

Values from the calculation:
D(E_F) = 1.30 states/eV/cell

Cell lengths 4.102, 4.102, 4.102 Å; angles 90.00, 90.00, 90.00 degrees
Space group Pm-3m (No. 221)
One atom of each set of equivalent atoms:
Hf  0.000  0.000  0.000
Be  0.000  0.500  0.500
Si  0.500  0.500  0.500

***

Which one is most stable, and which one is least stable? #2 is the most stable of them, while #1 is the least stable.

***

#1
# Hf2Be2Sn

A relaxed Hf2Be2Sn crystal (PBE-GGA, the Alexandria database).

Values from the calculation:
D(E_F) = 4.98 states/eV/cell

Cell lengths 6.430, 6.430, 3.916 Å; angles 90.00, 90.00, 90.00 degrees
Space group P4/mbm (No. 127)
One atom of each set of equivalent atoms:
Hf  0.169  0.331  0.000
Be  0.115  0.615  0.500
Sn  0.000  0.000  0.500

***

#2
# Hf2Be2Sn

A relaxed Hf2Be2Sn crystal (PBE-GGA, the Alexandria database).

Values from the calculation:
D(E_F) = 4.29 states/eV/cell

Cell lengths 3.715, 5.307, 8.234 Å; angles 90.00, 90.00, 90.00 degrees
Space group Immm (No. 71)
One atom of each set of equivalent atoms:
Hf  0.000  0.000  0.207
Be  0.000  0.308  0.500
Sn  0.000  0.500  0.000

***

Which one is most stable, and which one is least stable? #1 is the most stable of them, while #2 is the least stable.